1.
The following is a PBE calculation of a relaxed BaMgV2Si crystal, from Alexandria.

Output
* DFT total energy: -3.33 eV per atom
* E_form (uncorrected): 203.0 kJ per mole of atoms
* total magnetic moment: 6.2 μB per cell
* D(E_F): 1.4970 states/eV/atom

Lattice parameters (Å, degrees): 5.2078 5.2078 5.4949 90.00 90.00 90.00
Closest atoms and distances in Å follow each position.
Space group P4/mmm (No. 123)
One atom of each set of equivalent atoms:
Ba1 0.0000 0.0000 0.0000  4 V 2.60, 2 Si 2.75
Mg1 0.5000 0.5000 0.5000  4 Si 3.68, 8 V 3.79
V1 0.0000 0.5000 0.0000  2 Ba 2.60
Si1 0.0000 0.0000 0.5000  2 Ba 2.75


2.
The following is a PBE calculation of a relaxed TlTeAu2 crystal, from Alexandria.

Output
* DFT total energy: -2.91 eV per atom
* E_form (uncorrected): 10.7 kJ per mole of atoms
* total magnetic moment: 0.0 μB per cell
* energy above the most stable polymorph in this dataset: 49 kJ/mol of formula units
* D(E_F): 0.3915 states/eV/atom

Lattice parameters (Å, degrees): 3.0870 4.0424 7.8829 90.00 90.00 90.00
Closest atoms and distances in Å follow each position.
Space group Pmm2 (No. 25)
One atom of each set of equivalent atoms:
Tl1 0.0000 0.0000 0.0000  2 Tl 3.09, 5 Au 3.23-3.44
Te1 0.5000 0.5000 0.6654  2 Te 3.09, 5 Au 3.12-3.26
Au1 0.0000 0.0000 0.4364  6 Au 2.93-3.09, 4 Te 3.12
Au2 0.5000 0.5000 0.2520  6 Au 2.93-3.09, 4 Tl 3.23, 1 Te 3.26